Version 1
VASP calculation (PBE) on a relaxed structure of DyEr2Mg2.

abc: 3.688 5.410 14.014
angles: 90.00 97.54 90.00
Positions (direct):
Er 0.044 0.750 0.087
Er 0.237 0.750 0.474
Er 0.763 0.250 0.526
Er 0.956 0.250 0.913
Dy 0.152 0.250 0.305
Dy 0.848 0.750 0.695
Mg 0.361 0.250 0.721
Mg 0.639 0.750 0.279
Mg 0.554 0.250 0.108
Mg 0.446 0.750 0.892



Version 2
VASP calculation (PBE) on a relaxed structure of DyEr2Mg2.

abc: 4.507 4.507 15.319
angles: 98.46 98.46 90.00
Positions (direct):
Mg 0.075 0.075 0.149
Mg 0.925 0.925 0.851
Mg 0.250 0.750 0.500
Mg 0.750 0.250 0.500
Er 0.827 0.827 0.654
Er 0.173 0.173 0.346
Er 0.000 0.500 0.000
Er 0.500 0.000 0.000
Dy 0.387 0.387 0.774
Dy 0.613 0.613 0.226



In kJ/mol of atoms, relative to the most stable structure: version 1 0.0; version 2 35.7.



Version 1
VASP calculation (PBE) on a relaxed structure of DyErMg.

abc: 3.597 3.597 7.080
angles: 104.72 104.72 90.00
Site moments in Bohr magnetons follow the coordinates.
Positions (direct):
Dy 0.005 0.005 0.010  -0.18
Mg 0.667 0.667 0.335  0.00
Er 0.328 0.328 0.655  -0.19



Version 2
VASP calculation (PBE) on a relaxed structure of DyErMg.

abc: 5.373 3.410 10.846
angles: 89.99 60.30 90.00
Positions (direct):
Dy 0.561 0.142 0.580
Dy 0.893 0.142 0.749
Mg 0.556 0.142 0.085
Mg 0.897 0.141 0.244
Er 0.223 0.642 0.918
Er 0.231 0.642 0.410



Version 3
VASP calculation (PBE) on a relaxed structure of DyErMg.

abc: 3.359 5.415 5.415
angles: 120.00 90.00 90.00
Positions (direct):
Dy 0.623 0.667 0.333
Mg 0.327 0.333 0.667
Er 0.050 0.000 0.000



In kJ/mol of atoms, relative to the most stable structure: version 1 0.0; version 2 5.1; version 3 7.9.



Version 1
VASP calculation (PBE) on a relaxed structure of Dy6Er3Mg.

abc: 8.987 8.711 8.711
angles: 115.42 90.00 90.00
Positions (direct):
Dy 0.102 0.289 0.151
Dy 0.602 0.151 0.289
Dy 0.602 0.711 0.849
Dy 0.284 0.937 0.063
Dy 0.769 0.478 0.170
Dy 0.269 0.170 0.478
Dy 0.153 0.705 0.295
Dy 0.769 0.830 0.522
Dy 0.102 0.849 0.711
Dy 0.784 0.063 0.937
Dy 0.653 0.295 0.705
Dy 0.269 0.522 0.830
Er 0.439 0.966 0.682
Er 0.424 0.536 0.464
Er 0.939 0.034 0.318
Er 0.439 0.318 0.034
Er 0.939 0.682 0.966
Er 0.924 0.464 0.536
Mg 0.506 0.762 0.238
Mg 0.006 0.238 0.762



Version 2
VASP calculation (PBE) on a relaxed structure of Dy6Er3Mg.

abc: 4.972 11.045 11.102
angles: 90.30 90.00 90.00
Positions (direct):
Dy 0.250 0.851 0.304
Dy 0.250 0.449 0.102
Dy 0.250 0.652 0.700
Dy 0.750 0.850 0.802
Dy 0.250 0.049 0.900
Dy 0.250 0.248 0.499
Dy 0.250 0.150 0.198
Dy 0.750 0.551 0.898
Dy 0.750 0.752 0.501
Dy 0.750 0.951 0.100
Dy 0.750 0.149 0.696
Dy 0.750 0.348 0.300
Er 0.250 0.349 0.797
Er 0.750 0.249 0.997
Er 0.750 0.651 0.203
Er 0.250 0.751 0.003
Er 0.250 0.551 0.400
Er 0.750 0.449 0.600
Mg 0.750 0.048 0.403
Mg 0.250 0.952 0.597



In kJ/mol of atoms, relative to the most stable structure: version 1 10.9; version 2 0.0.



Version 1
VASP calculation (PBE) on a relaxed structure of Dy2Er2Mg.

abc: 5.079 5.079 12.982
angles: 101.28 101.28 90.00
Positions (direct):
Er 0.575 0.075 0.150
Er 0.925 0.425 0.850
Er 0.175 0.175 0.350
Er 0.825 0.825 0.650
Dy 0.671 0.671 0.341
Dy 0.329 0.329 0.659
Dy 0.421 0.921 0.841
Dy 0.079 0.579 0.159
Mg 0.250 0.750 0.500
Mg 0.500 0.500 0.000



Version 2
VASP calculation (PBE) on a relaxed structure of Dy2Er2Mg.

abc: 3.533 7.085 13.063
angles: 114.02 97.77 90.00
Positions (direct):
Dy 0.406 0.358 0.811
Dy 0.594 0.642 0.189
Dy 0.405 0.858 0.811
Dy 0.595 0.142 0.189
Er 0.198 0.547 0.395
Er 0.802 0.953 0.605
Er 0.198 0.047 0.395
Er 0.802 0.453 0.605
Mg 0.000 0.750 0.000
Mg 0.000 0.250 0.000



In kJ/mol of atoms, relative to the most stable structure: version 1 21.2; version 2 0.0.



Version 1
VASP calculation (PBE) on a relaxed structure of Dy4Er5Mg2.

abc: 3.435 11.306 14.027
angles: 140.83 97.03 90.00
Positions (direct):
Dy 0.977 0.229 0.954
Dy 0.642 0.471 0.283
Dy 0.358 0.529 0.717
Dy 0.023 0.771 0.046
Er 0.826 0.726 0.651
Er 0.213 0.047 0.427
Er 0.787 0.953 0.573
Er 0.174 0.274 0.349
Er 0.500 0.000 0.000
Mg 0.590 0.648 0.180
Mg 0.410 0.352 0.820



Version 2
VASP calculation (PBE) on a relaxed structure of Dy4Er5Mg2.

abc: 3.397 8.778 12.330
angles: 110.85 97.92 90.00
Positions (direct):
Dy 0.733 0.733 0.465
Dy 0.267 0.267 0.535
Dy 0.000 0.319 0.000
Dy 0.000 0.681 0.000
Er 0.139 0.336 0.279
Er 0.139 0.943 0.279
Er 0.861 0.664 0.721
Er 0.861 0.057 0.721
Er 0.500 0.000 0.000
Mg 0.401 0.401 0.803
Mg 0.599 0.599 0.197



In kJ/mol of atoms, relative to the most stable structure: version 1 0.0; version 2 10.7.



Version 1
VASP calculation (PBE) on a relaxed structure of Dy7Er2Mg2.

abc: 7.523 7.523 6.658
angles: 75.67 75.67 100.54
Positions (direct):
Dy 0.000 0.000 0.000
Dy 0.424 0.927 0.799
Dy 0.576 0.073 0.201
Dy 0.073 0.576 0.201
Dy 0.927 0.424 0.799
Dy 0.329 0.329 0.485
Dy 0.671 0.671 0.515
Mg 0.656 0.656 0.029
Mg 0.344 0.344 0.971
Er 0.862 0.138 0.500
Er 0.138 0.862 0.500



Version 2
VASP calculation (PBE) on a relaxed structure of Dy7Er2Mg2.

abc: 5.652 8.074 8.074
angles: 85.89 73.89 73.89
Positions (direct):
Dy 0.185 0.015 0.602
Dy 0.672 0.778 0.778
Dy 0.328 0.222 0.222
Dy 0.000 0.000 0.000
Dy 0.815 0.398 0.985
Dy 0.185 0.602 0.015
Dy 0.815 0.985 0.398
Mg 0.215 0.556 0.556
Mg 0.785 0.444 0.444
Er 0.500 0.780 0.220
Er 0.500 0.220 0.780



In kJ/mol of atoms, relative to the most stable structure: version 1 2.2; version 2 0.0.



Version 1
VASP calculation (PBE) on a relaxed structure of Dy4Er2Mg.

abc: 3.591 5.874 11.330
angles: 111.52 90.00 90.00
Positions (direct):
Er 0.500 0.000 0.500
Er 0.000 0.500 0.500
Dy 0.000 0.646 0.202
Dy 0.500 0.176 0.250
Dy 0.000 0.354 0.798
Dy 0.500 0.824 0.750
Mg 0.000 0.000 0.000



Version 2
VASP calculation (PBE) on a relaxed structure of Dy4Er2Mg.

abc: 5.946 6.517 11.395
angles: 90.00 105.13 90.00
Positions (direct):
Dy 0.848 0.250 0.560
Dy 0.977 0.250 0.126
Dy 0.642 0.498 0.287
Dy 0.642 0.002 0.287
Dy 0.358 0.502 0.713
Dy 0.152 0.750 0.440
Dy 0.358 0.998 0.713
Dy 0.023 0.750 0.874
Mg 0.851 0.250 0.835
Mg 0.149 0.750 0.165
Er 0.725 0.750 0.577
Er 0.400 0.250 0.996
Er 0.275 0.250 0.423
Er 0.600 0.750 0.004



In kJ/mol of atoms, relative to the most stable structure: version 1 3.0; version 2 0.0.



Version 1
VASP calculation (PBE) on a relaxed structure of DyEr3Mg7.

abc: 3.286 11.302 16.353
angles: 90.00 90.00 98.36
Positions (direct):
Mg 0.739 0.478 0.576
Mg 0.494 0.988 0.416
Mg 0.624 0.249 0.843
Mg 0.376 0.751 0.157
Mg 0.618 0.236 0.250
Mg 0.506 0.012 0.916
Mg 0.382 0.764 0.750
Mg 0.261 0.522 0.424
Mg 0.261 0.522 0.076
Mg 0.506 0.012 0.584
Mg 0.624 0.249 0.657
Mg 0.376 0.751 0.343
Mg 0.739 0.478 0.924
Mg 0.494 0.988 0.084
Er 0.764 0.529 0.250
Er 0.882 0.765 0.531
Er 0.118 0.235 0.031
Er 0.882 0.765 0.969
Er 0.236 0.471 0.750
Er 0.118 0.235 0.469
Dy 0.013 0.026 0.750
Dy 0.987 0.974 0.250



Version 2
VASP calculation (PBE) on a relaxed structure of DyEr3Mg7.

abc: 6.036 8.423 8.423
angles: 73.98 121.36 121.36
Positions (direct):
Dy 0.500 0.500 0.500
Mg 0.305 0.051 0.564
Mg 0.453 0.237 0.237
Mg 0.547 0.763 0.763
Mg 0.000 0.500 0.500
Mg 0.305 0.564 0.051
Mg 0.695 0.436 0.949
Mg 0.695 0.949 0.436
Er 0.000 0.192 0.808
Er 0.500 0.000 0.000
Er 0.000 0.808 0.192



In kJ/mol of atoms, relative to the most stable structure: version 1 0.0; version 2 9.8.



Version 1
VASP calculation (PBE) on a relaxed structure of Dy2Er2Mg3.

abc: 8.129 8.129 8.129
angles: 109.47 109.47 109.47
Positions (direct):
Mg 0.637 0.750 0.887
Mg 0.750 0.613 0.363
Mg 0.387 0.137 0.750
Mg 0.113 0.363 0.250
Mg 0.863 0.250 0.613
Mg 0.250 0.887 0.137
Er 0.858 0.500 0.000
Er 0.500 0.358 0.500
Er 0.000 0.000 0.358
Er 0.642 0.142 0.142
Dy 0.333 0.500 0.000
Dy 0.000 0.000 0.833
Dy 0.167 0.667 0.667
Dy 0.500 0.833 0.500



Version 2
VASP calculation (PBE) on a relaxed structure of Dy2Er2Mg3.

abc: 3.491 7.101 9.140
angles: 114.60 89.96 104.14
Positions (direct):
Mg 0.676 0.358 0.209
Mg 0.324 0.642 0.791
Mg 0.000 0.000 0.000
Dy 0.106 0.216 0.454
Dy 0.894 0.784 0.546
Er 0.370 0.742 0.185
Er 0.630 0.258 0.815



In kJ/mol of atoms, relative to the most stable structure: version 1 15.8; version 2 0.0.